[1]
SrYP2Cl | PBE-GGA | relaxed

Summary:
* E_tot: -5.08 eV per atom
* ρ: 3.10 g/cm³
* energy relative to the elements, uncorrected: -918 meV per atom
* crystal system: tetragonal

Cell lengths 5.263, 5.263, 5.299 Å; angles 90.00, 90.00, 90.00 degrees
Sites, in units of the cell vectors:
Sr: 0.000 0.000 0.000
Y: 0.500 0.500 0.500
P: 0.000 0.500 0.500
P: 0.500 0.000 0.500
Cl: 0.500 0.500 0.000

***

[2]
FeTcPt | PBE-GGA | relaxed

Summary:
* E_tot: -8.35 eV per atom
* formation energy from the elements: -18.7 kJ/mol of formula units
* ρ: 13.92 g/cm³
* crystal system: orthorhombic

Cell lengths 2.694, 3.799, 8.132 Å; angles 90.00, 90.00, 90.00 degrees
Sites, in units of the cell vectors:
Fe: 0.000 0.000 0.000
Fe: 0.500 0.500 0.500
Tc: 0.000 0.000 0.347
Tc: 0.500 0.500 0.847
Pt: 0.000 0.000 0.672
Pt: 0.500 0.500 0.172

***

[3]
Pu3Cu2Sb4 | PBE-GGA | relaxed

Summary:
* E_tot: -7.94 eV per atom
* ρ: 9.97 g/cm³
* energy relative to the elements, uncorrected: -420 meV per atom
* crystal system: triclinic

Cell lengths 4.564, 6.779, 8.193 Å; angles 68.04, 73.85, 90.00 degrees
Sites, in units of the cell vectors:
Pu: 0.000 0.000 0.000
Pu: 0.137 0.636 0.726
Pu: 0.863 0.364 0.274
Cu: 0.340 0.015 0.318
Cu: 0.660 0.985 0.682
Sb: 0.213 0.210 0.576
Sb: 0.486 0.696 0.028
Sb: 0.514 0.304 0.972
Sb: 0.787 0.790 0.424

***

[4]
Nd6Zn2Ir | PBE-GGA | relaxed

Summary:
* E_tot: -4.69 eV per atom
* formation energy from the elements: -212.6 kJ/mol of formula units
* ρ: 7.59 g/cm³
* crystal system: monoclinic

Cell lengths 6.282, 9.462, 10.075 Å; angles 90.00, 119.74, 90.00 degrees
Sites, in units of the cell vectors:
Nd: 0.062 0.188 0.479
Nd: 0.062 0.312 0.979
Nd: 0.364 0.670 0.453
Nd: 0.364 0.830 0.953
Nd: 0.399 0.027 0.289
Nd: 0.399 0.473 0.789
Nd: 0.601 0.527 0.211
Nd: 0.601 0.973 0.711
Nd: 0.636 0.170 0.047
Nd: 0.636 0.330 0.547
Nd: 0.938 0.688 0.021
Nd: 0.938 0.812 0.521
Zn: 0.109 0.094 0.772
Zn: 0.109 0.406 0.272
Zn: 0.891 0.594 0.728
Zn: 0.891 0.906 0.228
Ir: 0.000 0.000 0.000
Ir: 0.000 0.500 0.500

***

[5]
CaNd2Hg8 | PBE-GGA | relaxed

Summary:
* E_tot: -1.62 eV per atom
* formation energy from the elements: -370.0 kJ/mol of formula units
* ρ: 11.10 g/cm³
* crystal system: orthorhombic

Cell lengths 8.795, 8.795, 8.795 Å; angles 145.32, 130.97, 61.44 degrees
Sites, in units of the cell vectors:
Ca: 0.000 0.000 0.000
Nd: 0.306 0.306 0.000
Nd: 0.694 0.694 0.000
Hg: 0.142 0.855 0.287
Hg: 0.159 0.659 0.500
Hg: 0.291 0.500 0.791
Hg: 0.432 0.145 0.287
Hg: 0.568 0.855 0.713
Hg: 0.709 0.500 0.209
Hg: 0.841 0.341 0.500
Hg: 0.858 0.145 0.713

***

[6]
Fe6CuPd8 | PBE-GGA | relaxed

Summary:
* E_tot: -6.26 eV per atom
* formation energy from the elements: 243.1 kJ/mol of formula units
* ρ: 8.92 g/cm³
* crystal system: trigonal

Cell lengths 7.141, 7.141, 5.272 Å; angles 90.00, 90.00, 120.00 degrees
Sites, in units of the cell vectors:
Fe: 0.019 0.678 0.152
Fe: 0.322 0.341 0.152
Fe: 0.341 0.019 0.848
Fe: 0.659 0.981 0.152
Fe: 0.678 0.659 0.848
Fe: 0.981 0.322 0.848
Cu: 0.000 0.000 0.000
Pd: 0.007 0.673 0.645
Pd: 0.327 0.334 0.645
Pd: 0.333 0.667 0.927
Pd: 0.334 0.007 0.355
Pd: 0.666 0.993 0.645
Pd: 0.667 0.333 0.073
Pd: 0.673 0.666 0.355
Pd: 0.993 0.327 0.355

***

[7]
Nd5SmSc4 | PBE-GGA | relaxed

Summary:
* E_tot: -5.34 eV per atom
* formation energy from the elements: 46.1 kJ/mol of formula units
* ρ: 5.73 g/cm³
* crystal system: tetragonal

Cell lengths 3.600, 3.600, 23.519 Å; angles 90.00, 90.00, 90.00 degrees
Sites, in units of the cell vectors:
Nd: 0.000 0.000 0.000
Nd: 0.000 0.000 0.194
Nd: 0.000 0.000 0.389
Nd: 0.000 0.000 0.611
Nd: 0.000 0.000 0.806
Sm: 0.500 0.500 0.500
Sc: 0.500 0.500 0.097
Sc: 0.500 0.500 0.291
Sc: 0.500 0.500 0.709
Sc: 0.500 0.500 0.903

***

[8]
CaMg2V | PBE-GGA | relaxed

Summary:
* E_tot: -2.94 eV per atom
* formation energy from the elements: 247.5 kJ/mol of formula units
* ρ: 2.18 g/cm³
* crystal system: tetragonal

Cell lengths 4.422, 4.422, 21.750 Å; angles 90.00, 90.00, 90.00 degrees
Sites, in units of the cell vectors:
Ca: 0.000 0.000 0.000
Ca: 0.000 0.500 0.250
Ca: 0.500 0.000 0.750
Ca: 0.500 0.500 0.500
Mg: 0.215 0.250 0.625
Mg: 0.250 0.715 0.875
Mg: 0.250 0.785 0.375
Mg: 0.285 0.250 0.125
Mg: 0.715 0.750 0.125
Mg: 0.750 0.215 0.375
Mg: 0.750 0.285 0.875
Mg: 0.785 0.750 0.625
V: 0.000 0.000 0.500
V: 0.000 0.500 0.750
V: 0.500 0.000 0.250
V: 0.500 0.500 0.000

***

[9]
CsIrRhI2 | PBE-GGA | relaxed

Summary:
* E_tot: -3.00 eV per atom
* ρ: 7.06 g/cm³
* energy relative to the elements, uncorrected: 1038 meV per atom
* crystal system: tetragonal

Cell lengths 5.348, 5.348, 5.609 Å; angles 90.00, 90.00, 90.00 degrees
Sites, in units of the cell vectors:
Cs: 0.000 0.000 0.000
Ir: 0.500 0.500 0.000
Rh: 0.000 0.000 0.500
I: 0.000 0.500 0.500
I: 0.500 0.000 0.500

***

[10]
Ca6SbAu5 | PBE-GGA | relaxed

Summary:
* E_tot: -3.53 eV per atom
* ρ: 7.48 g/cm³
* energy relative to the elements, uncorrected: -822 meV per atom
* crystal system: orthorhombic

Cell lengths 9.036, 9.036, 9.036 Å; angles 146.84, 131.64, 59.89 degrees
Sites, in units of the cell vectors:
Ca: 0.079 0.331 0.748
Ca: 0.244 0.000 0.244
Ca: 0.416 0.669 0.748
Ca: 0.584 0.331 0.252
Ca: 0.756 0.000 0.756
Ca: 0.921 0.669 0.252
Sb: 0.500 0.500 0.000
Au: 0.000 0.500 0.500
Au: 0.165 0.165 0.000
Au: 0.329 0.829 0.500
Au: 0.671 0.171 0.500
Au: 0.835 0.835 0.000

***

[11]
AcInAsPd | PBE-GGA | relaxed

Summary:
* E_tot: -4.72 eV per atom
* formation energy from the elements: -209.5 kJ/mol of formula units
* ρ: 8.74 g/cm³
* crystal system: cubic

Cell lengths 7.352, 7.352, 7.352 Å; angles 90.00, 90.00, 90.00 degrees
Sites, in units of the cell vectors:
Ac: 0.000 0.000 0.000
Ac: 0.000 0.500 0.500
Ac: 0.500 0.000 0.500
Ac: 0.500 0.500 0.000
In: 0.000 0.000 0.500
In: 0.000 0.500 0.000
In: 0.500 0.000 0.000
In: 0.500 0.500 0.500
As: 0.250 0.250 0.750
As: 0.250 0.750 0.250
As: 0.750 0.250 0.250
As: 0.750 0.750 0.750
Pd: 0.250 0.250 0.250
Pd: 0.250 0.750 0.750
Pd: 0.750 0.250 0.750
Pd: 0.750 0.750 0.250

***

[12]
ScPaAl | PBE-GGA | relaxed

Summary:
* E_tot: -6.42 eV per atom
* formation energy from the elements: 30.9 kJ/mol of formula units
* ρ: 7.91 g/cm³
* crystal system: trigonal

Cell lengths 4.997, 4.997, 2.943 Å; angles 90.00, 90.00, 120.00 degrees
Sites, in units of the cell vectors:
Sc: 0.000 0.000 0.000
Pa: 0.667 0.333 0.002
Al: 0.333 0.667 0.502

***

[13]
NaCr3As | PBE-GGA | relaxed

Summary:
* E_tot: -5.15 eV per atom
* formation energy from the elements: 875.9 kJ/mol of formula units
* ρ: 3.59 g/cm³
* crystal system: cubic

Cell lengths 4.899, 4.899, 4.899 Å; angles 90.00, 90.00, 90.00 degrees
Sites, in units of the cell vectors:
Na: 0.000 0.000 0.000
Cr: 0.000 0.000 0.500
Cr: 0.000 0.500 0.000
Cr: 0.500 0.000 0.000
As: 0.500 0.500 0.500

***

[14]
Cs2BiPtI6 | PBE-GGA | relaxed

Summary:
* E_tot: -2.83 eV per atom
* ρ: 5.57 g/cm³
* energy relative to the elements, uncorrected: -738 meV per atom
* crystal system: tetragonal

Cell lengths 8.441, 8.441, 8.441 Å; angles 119.74, 119.74, 90.45 degrees
Sites, in units of the cell vectors:
Cs: 0.250 0.750 0.500
Cs: 0.750 0.250 0.500
Bi: 0.000 0.000 0.000
Pt: 0.500 0.500 0.000
I: 0.263 0.263 0.526
I: 0.263 0.737 0.000
I: 0.264 0.264 0.000
I: 0.736 0.736 0.000
I: 0.737 0.263 0.000
I: 0.737 0.737 0.474

***

[15]
PrTm2TcO8 | PBE-GGA | relaxed

Summary:
* E_tot: -7.93 eV per atom
* ρ: 6.76 g/cm³
* energy relative to the elements, uncorrected: -2617 meV per atom
* crystal system: orthorhombic

Cell lengths 5.037, 5.037, 6.821 Å; angles 90.00, 90.00, 90.61 degrees
Sites, in units of the cell vectors:
Pr: 0.000 0.000 0.000
Tm: 0.500 0.500 0.249
Tm: 0.500 0.500 0.751
Tc: 0.000 0.000 0.500
O: 0.187 0.187 0.299
O: 0.187 0.187 0.701
O: 0.268 0.732 0.500
O: 0.319 0.681 0.000
O: 0.681 0.319 0.000
O: 0.732 0.268 0.500
O: 0.813 0.813 0.299
O: 0.813 0.813 0.701

***

[16]
BeCdPt3 | PBE-GGA | relaxed

Summary:
* E_tot: -4.81 eV per atom
* formation energy from the elements: -123.9 kJ/mol of formula units
* ρ: 14.74 g/cm³
* crystal system: orthorhombic

Cell lengths 4.133, 6.880, 5.599 Å; angles 90.00, 90.00, 90.00 degrees
Sites, in units of the cell vectors:
Be: 0.000 0.000 0.000
Be: 0.000 0.500 0.500
Cd: 0.500 0.000 0.361
Cd: 0.500 0.500 0.861
Pt: 0.000 0.212 0.648
Pt: 0.000 0.288 0.148
Pt: 0.000 0.712 0.148
Pt: 0.000 0.788 0.648
Pt: 0.500 0.000 0.867
Pt: 0.500 0.500 0.367

***

[17]
DyU5N6 | PBE-GGA | relaxed

Summary:
* E_tot: -10.61 eV per atom
* ρ: 13.79 g/cm³
* energy relative to the elements, uncorrected: -1364 meV per atom
* crystal system: monoclinic

Cell lengths 5.955, 5.955, 5.972 Å; angles 99.61, 99.61, 119.96 degrees
Sites, in units of the cell vectors:
Dy: 0.000 0.000 0.000
U: 0.165 0.835 0.500
U: 0.333 0.667 0.000
U: 0.500 0.500 0.500
U: 0.667 0.333 0.000
U: 0.835 0.165 0.500
N: 0.083 0.421 0.250
N: 0.253 0.253 0.751
N: 0.421 0.083 0.250
N: 0.579 0.917 0.750
N: 0.747 0.747 0.249
N: 0.917 0.579 0.750

***

[18]
Np3GeTe6 | PBE-GGA | relaxed

Summary:
* E_tot: -6.72 eV per atom
* ρ: 7.82 g/cm³
* energy relative to the elements, uncorrected: -487 meV per atom
* crystal system: orthorhombic

Cell lengths 9.444, 9.444, 7.544 Å; angles 90.00, 90.00, 102.05 degrees
Sites, in units of the cell vectors:
Np: 0.100 0.900 0.500
Np: 0.221 0.421 0.609
Np: 0.421 0.221 0.109
Np: 0.579 0.779 0.609
Np: 0.779 0.579 0.109
Np: 0.900 0.100 0.000
Ge: 0.324 0.676 0.141
Ge: 0.676 0.324 0.641
Te: 0.064 0.592 0.326
Te: 0.127 0.200 0.303
Te: 0.200 0.127 0.803
Te: 0.265 0.735 0.761
Te: 0.408 0.936 0.326
Te: 0.492 0.508 0.365
Te: 0.508 0.492 0.865
Te: 0.592 0.064 0.826
Te: 0.735 0.265 0.261
Te: 0.800 0.873 0.303
Te: 0.873 0.800 0.803
Te: 0.936 0.408 0.826

***

[19]
Pr5Nd2YHo | PBE-GGA | relaxed

Summary:
* E_tot: -4.67 eV per atom
* formation energy from the elements: 234.8 kJ/mol of formula units
* ρ: 6.47 g/cm³
* crystal system: tetragonal

Cell lengths 10.466, 10.466, 10.466 Å; angles 130.92, 130.92, 71.94 degrees
Sites, in units of the cell vectors:
Pr: 0.000 0.000 0.000
Pr: 0.075 0.575 0.938
Pr: 0.137 0.075 0.500
Pr: 0.363 0.863 0.938
Pr: 0.425 0.363 0.500
Pr: 0.500 0.500 0.000
Pr: 0.575 0.637 0.500
Pr: 0.637 0.137 0.062
Pr: 0.863 0.925 0.500
Pr: 0.925 0.425 0.062
Nd: 0.122 0.378 0.500
Nd: 0.378 0.878 0.256
Nd: 0.622 0.122 0.744
Nd: 0.878 0.622 0.500
Y: 0.250 0.750 0.500
Y: 0.750 0.250 0.500
Ho: 0.250 0.250 0.000
Ho: 0.750 0.750 0.000

***

[20]
ZrMo3Pt | PBE-GGA | relaxed

Summary:
* E_tot: -7.36 eV per atom
* formation energy from the elements: 990.5 kJ/mol of formula units
* ρ: 9.16 g/cm³
* crystal system: cubic

Cell lengths 4.703, 4.703, 4.703 Å; angles 90.00, 90.00, 90.00 degrees
Sites, in units of the cell vectors:
Zr: 0.000 0.000 0.000
Mo: 0.000 0.000 0.500
Mo: 0.000 0.500 0.000
Mo: 0.500 0.000 0.000
Pt: 0.500 0.500 0.500

***

[21]
MgSbF6 | PBE-GGA | relaxed

Summary:
* E_tot: -4.23 eV per atom
* ρ: 3.41 g/cm³
* energy relative to the elements, uncorrected: -2114 meV per atom
* crystal system: trigonal

Cell lengths 5.984, 5.984, 5.984 Å; angles 52.95, 52.95, 52.95 degrees
Sites, in units of the cell vectors:
Mg: 0.000 0.000 0.000
Sb: 0.500 0.500 0.500
F: 0.088 0.590 0.590
F: 0.410 0.410 0.912
F: 0.410 0.912 0.410
F: 0.590 0.088 0.590
F: 0.590 0.590 0.088
F: 0.912 0.410 0.410

***

[22]
Tb2Sm2Sb3 | PBE-GGA | relaxed

Summary:
* E_tot: -5.47 eV per atom
* ρ: 8.09 g/cm³
* energy relative to the elements, uncorrected: -1027 meV per atom
* crystal system: cubic

Cell lengths 8.066, 8.066, 8.066 Å; angles 109.47, 109.47, 109.47 degrees
Sites, in units of the cell vectors:
Tb: 0.000 0.859 0.500
Tb: 0.500 0.000 0.859
Tb: 0.641 0.641 0.641
Tb: 0.859 0.500 0.000
Sm: 0.000 0.354 0.500
Sm: 0.146 0.146 0.146
Sm: 0.354 0.500 0.000
Sm: 0.500 0.000 0.354
Sb: 0.122 0.750 0.872
Sb: 0.250 0.628 0.378
Sb: 0.378 0.250 0.628
Sb: 0.628 0.378 0.250
Sb: 0.750 0.872 0.122
Sb: 0.872 0.122 0.750